Arrangement w

! HgSb2HI PBE-GGA optimized geometry; values from VASP
! symmetry: No. 123
! size of the total moment: 2.485 μB/cell
&SYSTEM
  ibrav = 0, nat = 5, ntyp = 4
/
ATOMIC_SPECIES
H 1.01 H.upf
Hg 200.59 Hg.upf
Sb 121.76 Sb.upf
I 126.90 I.upf
ATOMIC_POSITIONS angstrom
H 2.8120 2.8120 3.1606
Hg 0.0000 0.0000 0.0000
Sb 2.8120 0.0000 0.0000
I 0.0000 0.0000 3.1606
Sb 0.0000 2.8120 0.0000
CELL_PARAMETERS angstrom
5.6241 0.0000 0.0000
0.0000 5.6241 0.0000
0.0000 0.0000 6.3213

Arrangement x

! HgSb2HI PBE-GGA optimized geometry; values from VASP
! symmetry: No. 123
! size of the total moment: 0.000 μB/cell
&SYSTEM
  ibrav = 0, nat = 5, ntyp = 4
/
ATOMIC_SPECIES
Hg 200.59 Hg.upf
Sb 121.76 Sb.upf
H 1.01 H.upf
I 126.90 I.upf
ATOMIC_POSITIONS angstrom
Hg -2.7479 2.0595 2.7300
Sb -0.7719 2.1137 -0.4444
H 0.0000 0.0000 0.0000
Sb -2.1554 -0.7234 0.3033
I 0.1794 0.6692 2.8711
CELL_PARAMETERS angstrom
-1.5439 4.2273 -0.8889
-4.3108 -1.4468 0.6066
0.3588 1.3384 5.7422

Stability summary - winner: arrangement x; margin: 53.5 kJ/mol of atoms.

Arrangement w

! HgTe2HI PBE-GGA optimized geometry; values from VASP
! symmetry: No. 123
! size of the total moment: 3.229 μB/cell
&SYSTEM
  ibrav = 0, nat = 5, ntyp = 4
/
ATOMIC_SPECIES
Te 127.60 Te.upf
I 126.90 I.upf
Hg 200.59 Hg.upf
H 1.01 H.upf
ATOMIC_POSITIONS angstrom
Te 2.8572 0.0000 0.0000
I 0.0000 0.0000 3.1070
Te 0.0000 2.8572 0.0000
Hg 0.0000 0.0000 0.0000
H 2.8572 2.8572 3.1070
CELL_PARAMETERS angstrom
5.7145 0.0000 0.0000
0.0000 5.7145 0.0000
0.0000 0.0000 6.2139

Arrangement x

! HgTe2HI PBE-GGA optimized geometry; values from VASP
! symmetry: No. 123
! size of the total moment: 0.000 μB/cell
&SYSTEM
  ibrav = 0, nat = 5, ntyp = 4
/
ATOMIC_SPECIES
Te 127.60 Te.upf
Hg 200.59 Hg.upf
H 1.01 H.upf
I 126.90 I.upf
ATOMIC_POSITIONS angstrom
Te 0.0000 2.1989 0.0000
Hg 2.1989 2.1989 4.0202
Te 2.1989 0.0000 0.0000
H 0.0000 0.0000 0.0000
I 0.0000 0.0000 4.0202
CELL_PARAMETERS angstrom
4.3979 0.0000 0.0000
0.0000 4.3979 0.0000
0.0000 0.0000 8.0403

Stability summary - winner: arrangement x; margin: 59.4 kJ/mol of atoms.